Record 1
Computed, not measured: crystalline Zn2HgSb at its relaxed geometry at the PBE level of DFT.

Distance to the lowest polymorph of the same formula: 36.0 meV/atom

Unit cell a=4.616 b=4.616 c=17.526 alpha=90.00 beta=90.00 gamma=90.00
Space group I-42d (No. 122)
Symmetry-distinct sites (fractional):
Zn  0.204  0.250  0.125
Hg  0.000  0.000  0.000
Sb  0.000  0.000  0.500

Record 2
Computed, not measured: crystalline ZnHgSb4 at its relaxed geometry at the PBE level of DFT.

Unit cell a=8.854 b=8.854 c=8.854 alpha=90.00 beta=90.00 gamma=90.00
Space group F-43m (No. 216)
Symmetry-distinct sites (fractional):
Zn  0.000  0.000  0.000
Hg  0.250  0.250  0.750
Sb  0.124  0.124  0.376

Record 3
Computed, not measured: crystalline ZnHgSb2 at its relaxed geometry at the PBE level of DFT.

Distance to the lowest polymorph of the same formula: 144.5 meV/atom

Unit cell a=5.581 b=3.282 c=6.005 alpha=90.00 beta=115.31 gamma=90.00
Space group P2/m (No. 10)
Symmetry-distinct sites (fractional):
Zn  0.000  0.000  0.000
Hg  0.000  0.500  0.500
Sb  0.500  0.000  0.500
Sb  0.500  0.500  0.000

Record 4
Computed, not measured: crystalline ZnHgSb2 at its relaxed geometry at the PBE level of DFT.

Distance to the lowest polymorph of the same formula: 100.7 meV/atom

Unit cell a=3.4147 b=3.4147 c=29.1002 alpha=90.00 beta=90.00 gamma=120.00
Space group R3m (No. 160, hexagonal axes)
Symmetry-distinct sites (fractional):
Zn  0.0000  0.0000  0.0000
Hg  0.0000  0.0000  0.7373
Sb  0.0000  0.0000  0.2593
Sb  0.0000  0.0000  0.4917

Record 5
Computed, not measured: crystalline ZnHgSb2 at its relaxed geometry at the PBE level of DFT.

Distance to the lowest polymorph of the same formula: 142.9 meV/atom

Unit cell a=5.201 b=5.201 c=7.418 alpha=90.00 beta=90.00 gamma=90.00
Space group I-4m2 (No. 119)
Symmetry-distinct sites (fractional):
Zn  0.000  0.000  0.000
Hg  0.000  0.500  0.750
Sb  0.000  0.000  0.500
Sb  0.000  0.500  0.250

Record 6
Computed, not measured: crystalline ZnHgSb2 at its relaxed geometry at the PBE level of DFT.

Distance to the lowest polymorph of the same formula: 53.0 meV/atom

Unit cell a=3.496 b=3.678 c=8.338 alpha=90.00 beta=90.00 gamma=90.00
Space group Pmmm (No. 47)
Symmetry-distinct sites (fractional):
Zn  0.000  0.000  0.000
Hg  0.000  0.000  0.500
Sb  0.500  0.500  0.179

Record 7
Computed, not measured: crystalline Zn3Hg5Sb12 at its relaxed geometry at the PBE level of DFT.

Unit cell a=17.586 b=17.586 c=17.586 alpha=90.00 beta=90.00 gamma=90.00
Space group Ia-3d (No. 230)
Symmetry-distinct sites (fractional):
Zn  0.000  0.250  0.125
Hg  0.000  0.000  0.000
Hg  0.000  0.250  0.375
Sb  0.006  0.059  0.170

Record 8
Computed, not measured: crystalline ZnHgSb2 at its relaxed geometry at the PBE level of DFT.

Distance to the lowest polymorph of the same formula: 117.5 meV/atom

Unit cell a=3.903 b=4.772 c=5.295 alpha=90.00 beta=90.00 gamma=90.00
Space group Pmmm (No. 47)
Symmetry-distinct sites (fractional):
Zn  0.000  0.000  0.000
Hg  0.500  0.000  0.500
Sb  0.000  0.500  0.500
Sb  0.500  0.500  0.000

In the order shown, the computed uncorrected energy values come out to -1.6092, -2.6967, -2.2134, -2.2573, -2.2151, -2.3050, -2.5218, -2.2404 eV per atom.